VASP calculation (PBE) on MgIn2HgRu after structural relaxation.

Calculated values
**Formation energy from the elements**: 0.1111 eV per atom

Unit cell a=5.1728 b=5.1728 c=5.0348 alpha=90.00 beta=90.00 gamma=90.00
Closest atoms and distances in Å follow each position.
Space group P4/mmm (No. 123)
Symmetry-distinct sites (fractional):
Mg 0.0000 0.0000 0.0000  2 Ru 2.52
In 0.0000 0.5000 0.5000  2 Ru 2.59
Hg 0.5000 0.5000 0.0000  8 In 3.61, 4 Mg 3.66
Ru 0.0000 0.0000 0.5000  2 Mg 2.52, 4 In 2.59

VASP calculation (PBE) on MgInHgSb after structural relaxation.

Calculated values
**Relative energy among the computed polymorphs**: 60 meV per atom

Unit cell a=7.4731 b=7.4731 c=7.4731 alpha=90.00 beta=90.00 gamma=90.00
Closest atoms and distances in Å follow each position.
Space group F-43m (No. 216)
Symmetry-distinct sites (fractional):
Mg 0.0000 0.0000 0.0000  4 Hg 3.24, 4 Sb 3.24
In 0.0000 0.0000 0.5000  4 Hg 3.24, 4 Sb 3.24
Hg 0.2500 0.2500 0.2500  4 In 3.24, 4 Mg 3.24
Sb 0.2500 0.2500 0.7500  4 In 3.24, 4 Mg 3.24

VASP calculation (PBE) on MgInHgSb after structural relaxation.

Calculated values
**Relative energy among the computed polymorphs**: 0 meV per atom

Unit cell a=4.7493 b=4.7493 c=37.6551 alpha=90.00 beta=90.00 gamma=120.00
Closest atoms and distances in Å follow each position.
Space group R-3m (No. 166, hexagonal axes)
Symmetry-distinct sites (fractional):
Mg 0.0000 0.0000 0.1931  4 Sb 2.90-2.94
In 0.0000 0.0000 0.4026  4 Hg 3.21-3.55, 3 Sb 3.24
Hg 0.0000 0.0000 0.3084  4 In 3.21-3.55, 3 Hg 3.32
Sb 0.0000 0.0000 0.1150  4 Mg 2.90-2.94, 3 In 3.24

VASP calculation (PBE) on MgScInHg after structural relaxation.

Calculated values
**Formation energy from the elements**: -0.3115 eV per atom
**Relative energy among the computed polymorphs**: 29 meV per atom

Unit cell a=7.0439 b=7.0439 c=7.0439 alpha=90.00 beta=90.00 gamma=90.00
Closest atoms and distances in Å follow each position.
Space group F-43m (No. 216)
Symmetry-distinct sites (fractional):
Mg 0.0000 0.0000 0.0000  4 Hg 3.05, 4 In 3.05
Sc 0.0000 0.0000 0.5000  4 Hg 3.05, 4 In 3.05
In 0.2500 0.2500 0.7500  4 Mg 3.05, 4 Sc 3.05
Hg 0.2500 0.2500 0.2500  4 Mg 3.05, 4 Sc 3.05

VASP calculation (PBE) on MgSc2In2Hg5 after structural relaxation.

Calculated values
**Formation energy from the elements**: -0.1447 eV per atom

Unit cell a=10.2127 b=10.2127 c=4.6421 alpha=90.00 beta=90.00 gamma=90.00
Closest atoms and distances in Å follow each position.
Space group P4/mbm (No. 127)
Symmetry-distinct sites (fractional):
Mg 0.0000 0.0000 0.0000  8 Hg 3.15
Sc 0.1236 0.3764 0.0000  6 Hg 2.93-3.08, 3 In 2.97-3.04
In 0.1704 0.6704 0.0000  3 Sc 2.97-3.04, 4 Hg 3.26
Hg 0.0000 0.5000 0.5000  4 Sc 2.93
Hg 0.1051 0.1797 0.5000  3 Hg 3.01-3.11, 2 Sc 3.08, 2 Mg 3.15, 2 In 3.26

VASP calculation (PBE) on MgScInHg after structural relaxation.

Calculated values
**Formation energy from the elements**: -0.3409 eV per atom
**Relative energy among the computed polymorphs**: 0 meV per atom

Unit cell a=4.0270 b=4.6028 c=4.7156 alpha=90.00 beta=90.00 gamma=90.00
Closest atoms and distances in Å follow each position.
Space group Pmmm (No. 47)
Symmetry-distinct sites (fractional):
Mg 0.0000 0.0000 0.0000  4 Hg 3.06, 4 In 3.10, 4 Sc 3.29
Sc 0.0000 0.5000 0.5000  4 In 3.06, 4 Hg 3.10, 4 Mg 3.29
In 0.5000 0.0000 0.5000  4 Sc 3.06, 4 Mg 3.10, 4 Hg 3.29
Hg 0.5000 0.5000 0.0000  4 Mg 3.06, 4 Sc 3.10, 4 In 3.29

VASP calculation (PBE) on SmMgInHg after structural relaxation.

Calculated values
**Formation energy from the elements**: -0.4041 eV per atom

Unit cell a=7.3643 b=7.3643 c=7.3643 alpha=90.00 beta=90.00 gamma=90.00
Closest atoms and distances in Å follow each position.
Space group F-43m (No. 216)
Symmetry-distinct sites (fractional):
Sm 0.0000 0.0000 0.0000  4 Hg 3.19, 4 In 3.19
Mg 0.0000 0.0000 0.5000  4 In 3.19, 4 Hg 3.19
In 0.2500 0.2500 0.7500  4 Sm 3.19, 4 Mg 3.19
Hg 0.2500 0.2500 0.2500  4 Mg 3.19, 4 Sm 3.19

VASP calculation (PBE) on SmMg2In2Hg2 after structural relaxation.

Calculated values
**Formation energy from the elements**: -0.2187 eV per atom

Unit cell a=4.8319 b=4.8319 c=25.2110 alpha=90.00 beta=90.00 gamma=120.00
Closest atoms and distances in Å follow each position.
Space group R-3m (No. 166, hexagonal axes)
Symmetry-distinct sites (fractional):
Sm 0.0000 0.0000 0.0000  6 In 3.25, 2 Mg 3.48
Mg 0.0000 0.0000 0.1379  3 Hg 2.95, 3 Mg 3.14, 1 In 3.25
In 0.0000 0.0000 0.2669  3 Hg 2.91, 1 Mg 3.25, 3 Sm 3.25
Hg 0.0000 0.0000 0.4330  3 In 2.91, 3 Mg 2.95

VASP calculation (PBE) on MgInSnHg after structural relaxation.

Calculated values
**Formation energy from the elements**: -0.0022 eV per atom
**Relative energy among the computed polymorphs**: 56 meV per atom

Unit cell a=7.4114 b=7.4114 c=7.4114 alpha=90.00 beta=90.00 gamma=90.00
Closest atoms and distances in Å follow each position.
Space group F-43m (No. 216)
Symmetry-distinct sites (fractional):
Mg 0.0000 0.0000 0.0000  4 Sn 3.21, 4 Hg 3.21
In 0.0000 0.0000 0.5000  4 Hg 3.21, 4 Sn 3.21
Sn 0.2500 0.2500 0.2500  4 In 3.21, 4 Mg 3.21
Hg 0.2500 0.2500 0.7500  4 In 3.21, 4 Mg 3.21

VASP calculation (PBE) on MgIn2SnHg4 after structural relaxation.

Calculated values
**Formation energy from the elements**: 0.0001 eV per atom

Unit cell a=7.7837 b=7.7837 c=6.7006 alpha=90.00 beta=90.00 gamma=90.00
Closest atoms and distances in Å follow each position.
Space group I-42m (No. 121)
Symmetry-distinct sites (fractional):
Mg 0.0000 0.0000 0.0000  8 Hg 3.06-3.38, 2 Sn 3.35
In 0.0000 0.5000 0.0000  8 Hg 3.17-3.29, 2 In 3.35
Sn 0.0000 0.0000 0.5000  8 Hg 3.18-3.27, 2 Mg 3.35
Hg 0.2392 0.2392 0.2327  2 Mg 3.06-3.38, 4 In 3.17-3.29, 2 Sn 3.18-3.27, 2 Hg 3.36